# Sr2Zn2Sn PBE optimized geometry
data_Sr2Zn2Sn
_cell_length_a 6.226
_cell_length_b 6.226
_cell_length_c 8.047
_cell_angle_alpha 90.00
_cell_angle_beta 90.00
_cell_angle_gamma 90.00
_symmetry_space_group_name_H-M 'I 4/m m m'
_symmetry_Int_Tables_number 139
_symmetry_space_group_name_Hall '-I 4 2'
loop_
_atom_site_label
_atom_site_type_symbol
_atom_site_fract_x
_atom_site_fract_y
_atom_site_fract_z
_atom_site_occupancy
Sr1 Sr 0.000 0.500 0.250 1
Zn1 Zn 0.000 0.000 0.149 1
Sn1 Sn 0.000 0.000 0.500 1
# electronic total energy	-21.61	eV/cell
# energy relative to the elements	-178	meV per atom
# magnetic moment	0.0	μB/f.u.